Here is a geometry-optimized SiAgOs2 structure from Alexandria. Energies are from PBE.

Computed properties:
- N(E_F): 3.6 states/eV per cell
- SG: Pmmm (47)
- ΔE_f (raw): 0.6453 eV per atom
- Electronic total energy: -7.04 eV/atom

abc: 2.800 4.739 4.507
angles: 90.00 90.00 90.00
Fractional coordinates of all 4 atoms:
Ag 0.000 0.500 0.500
Si 0.500 0.000 0.500
Os 0.500 0.500 0.000
Os 0.000 0.000 0.000

=====

Here is a geometry-optimized SiAg2Os structure from Alexandria. Energies are from PBE.

Computed properties:
- N(E_F): 2.2 states/eV per cell
- SG: Imm2 (44)
- ΔE_f (raw): 0.4229 eV per atom
- Electronic total energy: -5.17 eV/atom

abc: 5.342 5.342 5.342
angles: 146.84 129.05 62.15
Fractional coordinates of all 4 atoms:
Ag 0.744 0.244 0.500
Os 0.460 0.460 0.000
Ag 0.028 0.028 0.000
Si 0.268 0.768 0.500

=====

Here is a geometry-optimized SiAgOs2 structure from Alexandria. Energies are from PBE.

Computed properties:
- N(E_F): 1.3 states/eV per cell
- SG: P4mm (99)
- ΔE_f (raw): 0.2790 eV per atom
- Electronic total energy: -7.40 eV/atom

abc: 2.805 2.805 7.697
angles: 90.00 90.00 90.00
Fractional coordinates of all 4 atoms:
Si 0.000 0.000 0.472
Os 0.500 0.500 0.255
Os 0.000 0.000 0.029
Ag 0.500 0.500 0.744

=====

Here is a geometry-optimized SiAg2Os structure from Alexandria. Energies are from PBE.

Computed properties:
- N(E_F): 1.6 states/eV per cell
- SG: I-4m2 (119)
- ΔE_f (raw): 0.4643 eV per atom
- Electronic total energy: -5.12 eV/atom

abc: 4.438 4.438 4.438
angles: 120.15 120.15 89.74
Fractional coordinates of all 4 atoms:
Ag 0.250 0.750 0.500
Os 0.500 0.500 0.000
Si 0.750 0.250 0.500
Ag 0.000 0.000 0.000

=====

Question: Among the records above, which one has the highest N(E_F)?
Answer: number 1

=====

Question: Which of these has the highest ΔE_f (raw)?
Answer: number 1

=====

Question: Which of these has the highest ΔE_f (raw)?
Answer: number 1